Below is crystalline ZrNb2Zn at its relaxed geometry, with properties calculated at the GGA-PBE level.

Unit cell a=6.653 b=6.653 c=6.653 alpha=90.00 beta=90.00 gamma=90.00
Space group F-43m (No. 216)
Asymmetric unit:
Zr1 0.000 0.000 0.000 x4
Nb1 0.000 0.000 0.500 x4
Nb2 0.250 0.250 0.250 x4
Zn1 0.250 0.250 0.750 x4

Results
* magnetic moment: 0.06 Bohr magnetons per cell
* DFT formation energy: 0.032 eV/atom